The following is a DFT calculation (PBE) of a geometry-optimized MgInBr structure.

Computed properties:
* VASP energy: -2.139 eV per atom
* raw formation energy: -0.41 eV per formula unit
* volume: 100 Å³/f.u.
* DOS at the Fermi energy: 0.55 states/eV/cell
* spin magnetization: 0.00 Bohr magnetons per cell

```
MgInBr
1.0
0.000 3.686 3.686
3.686 0.000 3.686
3.686 3.686 0.000
Mg In Br
1 1 1
Cartesian
0.000 0.000 0.000
5.529 5.529 5.529
1.843 1.843 1.843
```